[1]
Material: BaNa2OsO6
Method: DFT, PBE
State: relaxed

formation energy from raw total energies: -15.7 eV per formula unit
final energy: -6.13 eV per atom

Unit cell a=5.7838 b=6.1937 c=8.3942 alpha=90.00 beta=89.20 gamma=90.00
Last column: nearest neighbours and their distance in Å.
Atoms (fractional coordinates):
Ba1 0.5000 0.0000 0.0000  6 O 2.57-2.82
Ba2 0.0000 0.5000 0.5000  6 O 2.57-2.82
O1 0.7178 0.3607 0.9730  1 Os 1.86
O2 0.7822 0.8607 0.5270  1 Os 1.86
O3 0.3921 0.8901 0.6975  1 Os 1.89
O4 0.6079 0.1099 0.3025  1 Os 1.89
O5 0.1079 0.3901 0.8025  1 Os 1.89
O6 0.3792 0.7547 0.3980  1 Os 1.88
O7 0.8792 0.7453 0.8980  1 Os 1.88
O8 0.8921 0.6099 0.1975  1 Os 1.89
O9 0.2178 0.1393 0.4730  1 Os 1.86
O10 0.2822 0.6393 0.0270  1 Os 1.86
O11 0.1208 0.2547 0.1020  1 Os 1.88
O12 0.6208 0.2453 0.6020  1 Os 1.88
Na1 0.5062 0.4711 0.2210  5 O 2.34-2.50
Na2 0.0062 0.0289 0.7210  5 O 2.34-2.50
Na3 0.9938 0.9711 0.2790  5 O 2.34-2.50
Na4 0.4938 0.5289 0.7790  5 O 2.34-2.50
Os1 0.5000 0.0000 0.5000  6 O 1.86-1.89
Os2 0.0000 0.5000 0.0000  6 O 1.86-1.89



[2]
Material: Na2Pa2Cl2O5
Method: DFT, PBE
State: relaxed

formation energy from raw total energies: -31.6 eV per formula unit
final energy: -7.43 eV per atom

Unit cell a=4.2459 b=4.2459 c=12.6207 alpha=99.68 beta=99.68 gamma=90.00
Last column: nearest neighbours and their distance in Å.
Atoms (fractional coordinates):
Na1 0.6772 0.6772 0.3544  4 O 2.83, 5 Cl 2.94-3.07
Na2 0.3228 0.3228 0.6456  4 O 2.83, 5 Cl 2.94-3.07
O1 0.6007 0.1007 0.2014  2 Pa 2.15
O2 0.3993 0.8993 0.7986  2 Pa 2.15
O3 0.8993 0.3993 0.7986  2 Pa 2.15
O4 0.0000 0.0000 0.0000  2 Pa 2.13
O5 0.1007 0.6007 0.2014  2 Pa 2.15
Cl1 0.7972 0.7972 0.5944  1 Pa 2.84, 5 Na 2.94-3.07
Cl2 0.2028 0.2028 0.4056  1 Pa 2.84, 5 Na 2.94-3.07
Pa1 0.9133 0.9133 0.8265  5 O 2.13-2.15
Pa2 0.0867 0.0867 0.1735  5 O 2.13-2.15



[3]
Material: Tl2CdAgS4
Method: DFT, PBE
State: relaxed

formation energy from raw total energies: -1.9 eV per formula unit
final energy: -3.36 eV per atom

Unit cell a=6.1425 b=6.1425 c=7.3177 alpha=114.69 beta=114.69 gamma=90.28
Last column: nearest neighbours and their distance in Å.
Atoms (fractional coordinates):
Cd1 0.5002 0.5002 0.0005  4 S 2.58
S1 0.1313 0.1313 0.7635  1 Ag 2.58, 1 Cd 2.58, 2 Tl 2.67
S2 0.6322 0.6322 0.7635  1 Ag 2.58, 1 Cd 2.58, 2 Tl 2.67
S3 0.3673 0.8678 0.2351  1 Ag 2.58, 1 Cd 2.58, 2 Tl 2.67
S4 0.8678 0.3673 0.2351  1 Ag 2.58, 1 Cd 2.58, 2 Tl 2.67
Ag1 0.0005 0.0005 0.0011  4 S 2.58
Tl1 0.2505 0.7505 0.5009  4 S 2.67
Tl2 0.7505 0.2505 0.5009  4 S 2.67



[4]
Material: YSc3Te
Method: DFT, PBE
State: relaxed

offset from the most stable computed form: 785.6 meV per atom
formation energy from raw total energies: 4.0 eV per formula unit
final energy: -4.92 eV per atom

Unit cell a=5.3105 b=5.3105 c=5.3105 alpha=90.00 beta=90.00 gamma=90.00
Last column: nearest neighbours and their distance in Å.
Atoms (fractional coordinates):
Te1 0.5000 0.5000 0.5000  12 Sc 3.76
Sc1 0.0000 0.5000 0.0000  2 Y 2.66
Sc2 0.5000 0.0000 0.0000  2 Y 2.66
Sc3 0.0000 0.0000 0.5000  2 Y 2.66
Y1 0.0000 0.0000 0.0000  6 Sc 2.66



[5]
Material: CoBiN2
Method: DFT, PBE
State: relaxed

formation energy from raw total energies: 3.6 eV per formula unit
final energy: -6.02 eV per atom

Unit cell a=6.3136 b=6.3136 c=6.3136 alpha=32.52 beta=32.52 gamma=32.52
Last column: nearest neighbours and their distance in Å.
Atoms (fractional coordinates):
Co1 0.0000 0.0000 0.0000  2 N 1.78
Bi1 0.5000 0.5000 0.5000  6 N 2.37
N1 0.0993 0.0993 0.0993  1 Co 1.78
N2 0.9007 0.9007 0.9007  1 Co 1.78



[6]
Material: BaAsSe2
Method: DFT, PBE
State: relaxed

formation energy from raw total energies: -3.8 eV per formula unit
final energy: -4.35 eV per atom

Unit cell a=6.2405 b=6.2405 c=4.7906 alpha=91.26 beta=91.26 gamma=42.50
Last column: nearest neighbours and their distance in Å.
Atoms (fractional coordinates):
Ba1 0.2792 0.2792 0.1601  7 Se 3.35-3.54, 2 As 3.46-3.70
As1 0.5076 0.5076 0.7102  3 Se 2.42-2.60
Se1 0.7140 0.7140 0.6524  1 As 2.42
Se2 0.9992 0.9992 0.9773  2 As 2.60



[7]
Material: Be3C
Method: DFT, PBE
State: relaxed

offset from the most stable computed form: 219.5 meV per atom
final energy: -4.67 eV per atom

Unit cell a=2.9077 b=2.9077 c=3.6770 alpha=90.00 beta=90.00 gamma=90.00
Last column: nearest neighbours and their distance in Å.
Atoms (fractional coordinates):
Be1 0.5000 0.5000 0.9833  2 C 1.76
Be2 0.0000 0.0000 0.9834  2 C 1.76
Be3 0.5000 0.0000 0.4455  4 C 2.17, 4 Be 2.24
C1 0.0000 0.5000 0.2545  4 Be 1.76



[8]
Material: KLiCdIn2
Method: DFT, PBE
State: relaxed

final energy: -1.87 eV per atom

Unit cell a=5.2323 b=5.2323 c=5.2658 alpha=90.00 beta=90.00 gamma=90.00
Last column: nearest neighbours and their distance in Å.
Atoms (fractional coordinates):
In1 0.0000 0.5000 0.0000  2 Li 2.62
In2 0.5000 0.0000 0.0000  2 Li 2.62
Li1 0.0000 0.0000 0.0000  4 In 2.62, 2 Cd 2.63
Cd1 0.0000 0.0000 0.5000  2 Li 2.63
K1 0.5000 0.5000 0.5000  4 Cd 3.70, 8 In 3.71



[9]
Material: SrPrTcO6
Method: DFT, PBE
State: relaxed

formation energy from raw total energies: -19.5 eV per formula unit
final energy: -7.34 eV per atom

Unit cell a=5.7175 b=5.7174 c=4.9160 alpha=90.00 beta=90.00 gamma=60.00
Last column: nearest neighbours and their distance in Å.
Atoms (fractional coordinates):
Pr1 0.0000 0.0000 0.0000  6 O 2.43
O1 0.6177 0.3111 0.7227  1 Tc 1.91
O2 0.0712 0.6177 0.7227  1 Tc 1.91
O3 0.6177 0.0712 0.2773  1 Tc 1.91
O4 0.0712 0.3111 0.2773  1 Tc 1.91
O5 0.3110 0.6177 0.2773  1 Tc 1.91
O6 0.3110 0.0712 0.7227  1 Tc 1.91
Tc1 0.3333 0.3334 0.5000  6 O 1.91
Sr1 0.6666 0.6667 0.5000  6 O 2.45



[10]
Material: TiCo2PdC
Method: DFT, PBE
State: relaxed

final energy: -7.50 eV per atom

Unit cell a=3.7548 b=3.7548 c=4.1811 alpha=90.00 beta=90.00 gamma=90.00
Last column: nearest neighbours and their distance in Å.
Atoms (fractional coordinates):
Co1 0.0000 0.5000 0.0000  2 C 1.88
Co2 0.5000 0.0000 0.0000  2 C 1.88
Pd1 0.5000 0.5000 0.5000  4 Ti 2.66, 8 Co 2.81
C1 0.0000 0.0000 0.0000  4 Co 1.88, 2 Ti 2.09
Ti1 0.0000 0.0000 0.5000  2 C 2.09



[11]
Material: RbTeAsN2
Method: DFT, PBE
State: relaxed

offset from the most stable computed form: 1017.2 meV per atom
formation energy from raw total energies: 11.4 eV per formula unit
final energy: -2.79 eV per atom

Unit cell a=4.9907 b=4.9907 c=7.6477 alpha=90.00 beta=90.00 gamma=90.00
Last column: nearest neighbours and their distance in Å.
Atoms (fractional coordinates):
N1 0.0000 0.5000 0.0000  2 Rb 2.50
N2 0.5000 0.0000 0.0000  2 Rb 2.50
Rb1 0.0000 0.0000 0.0000  4 N 2.50
Te1 0.0000 0.0000 0.5000  4 As 3.53, 2 Rb 3.82
As1 0.5000 0.5000 0.5000  4 Te 3.53



[12]
Material: Na2CuAu
Method: DFT, PBE
State: relaxed

offset from the most stable computed form: 160.6 meV per atom
final energy: -2.28 eV per atom

Unit cell a=2.9906 b=2.9906 c=10.5771 alpha=81.87 beta=81.87 gamma=60.00
Last column: nearest neighbours and their distance in Å.
Atoms (fractional coordinates):
Cu1 0.0000 0.0000 0.0000  2 Na 2.74, 6 Cu 2.99
Na1 0.9126 0.9126 0.2623  1 Cu 2.74, 6 Na 2.99, 3 Au 3.02
Na2 0.0874 0.0874 0.7377  1 Cu 2.74, 6 Na 2.99, 3 Au 3.02
Au1 0.5000 0.5000 0.5000  6 Au 2.99, 6 Na 3.02